[1]
Entry from Alexandria: Ba5Re after structural relaxation (PBE).

Cell lengths 8.119, 8.119, 4.871 Å; angles 90.00, 90.00, 120.00 degrees
Fractional coordinates of all 6 atoms:
Ba: 0.255 0.255 0.000
Ba: 0.000 0.745 0.000
Ba: 0.745 0.000 0.000
Ba: 0.667 0.333 0.500
Ba: 0.333 0.667 0.500
Re: 0.000 0.000 0.500

Its density of states at the Fermi level is 8.4 states/eV/cell. For the formation energy, the calculation gives 72 kJ per mole of atoms. As for the space group: P-62m.

[2]
Entry from Alexandria: BaRe3 after structural relaxation (PBE).

Cell lengths 6.074, 6.074, 4.704 Å; angles 90.00, 90.00, 105.63 degrees
Fractional coordinates of all 8 atoms:
Re: 0.942 0.058 0.750
Re: 0.058 0.942 0.250
Re: 0.634 0.047 0.250
Re: 0.953 0.366 0.250
Re: 0.047 0.634 0.750
Re: 0.366 0.953 0.750
Ba: 0.409 0.591 0.250
Ba: 0.591 0.409 0.750

Its density of states at the Fermi level is 9.0 states/eV/cell. For the formation energy, the calculation gives 115 kJ per mole of atoms. As for the space group: Cmcm.

[3]
Entry from Alexandria: BaRe after structural relaxation (PBE).

Cell lengths 6.386, 7.049, 11.690 Å; angles 90.00, 90.00, 90.00 degrees
Fractional coordinates of all 16 atoms:
Re: 0.578 0.922 0.657
Re: 0.343 0.166 0.716
Re: 0.922 0.078 0.157
Re: 0.157 0.834 0.216
Re: 0.078 0.578 0.343
Re: 0.422 0.422 0.843
Re: 0.843 0.334 0.284
Re: 0.657 0.666 0.784
Ba: 0.372 0.916 0.949
Ba: 0.859 0.174 0.835
Ba: 0.641 0.826 0.335
Ba: 0.128 0.084 0.449
Ba: 0.359 0.326 0.165
Ba: 0.628 0.416 0.551
Ba: 0.141 0.674 0.665
Ba: 0.872 0.584 0.051

Its density of states at the Fermi level is 16.9 states/eV/cell. For the formation energy, the calculation gives 79 kJ per mole of atoms. As for the space group: P2_12_12_1.

[4]
Entry from Alexandria: BaRe after structural relaxation (PBE).

Cell lengths 9.627, 9.627, 9.627 Å; angles 25.53, 25.53, 25.53 degrees
Fractional coordinates of all 4 atoms:
Ba: 0.912 0.912 0.912
Ba: 0.088 0.088 0.088
Re: 0.661 0.661 0.661
Re: 0.339 0.339 0.339

Its density of states at the Fermi level is 4.5 states/eV/cell. For the formation energy, the calculation gives 39 kJ per mole of atoms. As for the space group: R-3m.

[5]
Entry from Alexandria: BaRe after structural relaxation (PBE).

Cell lengths 12.441, 12.441, 4.490 Å; angles 90.00, 90.00, 90.00 degrees
Fractional coordinates of all 16 atoms:
Ba: 0.612 0.149 0.500
Ba: 0.149 0.388 0.500
Ba: 0.851 0.612 0.500
Ba: 0.829 0.330 0.000
Ba: 0.171 0.670 0.000
Ba: 0.670 0.829 0.000
Ba: 0.388 0.851 0.500
Ba: 0.330 0.171 0.000
Re: 0.540 0.358 0.000
Re: 0.564 0.633 0.500
Re: 0.436 0.367 0.500
Re: 0.460 0.642 0.000
Re: 0.367 0.564 0.500
Re: 0.633 0.436 0.500
Re: 0.358 0.460 0.000
Re: 0.642 0.540 0.000

Its density of states at the Fermi level is 21.7 states/eV/cell. For the formation energy, the calculation gives 42 kJ per mole of atoms. As for the space group: P4/m.

[6]
Entry from Alexandria: BaRe after structural relaxation (PBE).

Cell lengths 8.880, 8.880, 8.880 Å; angles 90.00, 90.00, 90.00 degrees
Fractional coordinates of all 12 atoms:
Ba: 0.750 0.500 0.000
Ba: 0.500 0.000 0.250
Ba: 0.500 0.000 0.750
Ba: 0.000 0.750 0.500
Ba: 0.250 0.500 0.000
Ba: 0.000 0.250 0.500
Re: 0.000 0.500 0.750
Re: 0.750 0.000 0.500
Re: 0.000 0.500 0.250
Re: 0.500 0.250 0.000
Re: 0.250 0.000 0.500
Re: 0.500 0.750 0.000

Its density of states at the Fermi level is 13.3 states/eV/cell. For the formation energy, the calculation gives 270 kJ per mole of atoms. As for the space group: Pm-3n.

[7]
Entry from Alexandria: BaRe4 after structural relaxation (PBE).

Cell lengths 4.861, 4.861, 4.861 Å; angles 90.00, 90.00, 90.00 degrees
Fractional coordinates of all 5 atoms:
Re: 0.000 0.000 0.000
Re: 0.500 0.000 0.500
Re: 0.500 0.500 0.000
Re: 0.000 0.500 0.500
Ba: 0.500 0.500 0.500

Its density of states at the Fermi level is 5.9 states/eV/cell. For the formation energy, the calculation gives 421 kJ per mole of atoms. As for the space group: Pm-3m.

[8]
Entry from Alexandria: BaRe after structural relaxation (PBE).

Cell lengths 6.578, 6.578, 6.578 Å; angles 90.00, 90.00, 90.00 degrees
Fractional coordinates of all 8 atoms:
Ba: 0.500 0.500 0.000
Ba: 0.000 0.000 0.000
Ba: 0.000 0.500 0.500
Ba: 0.500 0.000 0.500
Re: 0.500 0.000 0.000
Re: 0.000 0.500 0.000
Re: 0.000 0.000 0.500
Re: 0.500 0.500 0.500

Its density of states at the Fermi level is 10.7 states/eV/cell. For the formation energy, the calculation gives 221 kJ per mole of atoms. As for the space group: Fm-3m.

[9]
Entry from Alexandria: BaRe after structural relaxation (PBE).

Cell lengths 6.122, 14.891, 9.808 Å; angles 90.00, 90.00, 90.00 degrees
Fractional coordinates of all 32 atoms:
Ba: 0.000 0.500 0.165
Ba: 0.500 0.500 0.665
Ba: 0.500 0.000 0.165
Ba: 0.250 0.750 0.915
Ba: 0.750 0.250 0.585
Ba: 0.750 0.750 0.085
Ba: 0.750 0.250 0.915
Ba: 0.500 0.000 0.835
Ba: 0.250 0.750 0.585
Ba: 0.000 0.000 0.335
Ba: 0.750 0.750 0.415
Ba: 0.250 0.250 0.415
Ba: 0.250 0.250 0.085
Ba: 0.500 0.500 0.335
Ba: 0.000 0.000 0.665
Ba: 0.000 0.500 0.835
Re: 0.250 0.827 0.250
Re: 0.000 0.423 0.500
Re: 0.500 0.077 0.500
Re: 0.750 0.827 0.750
Re: 0.500 0.423 0.000
Re: 0.250 0.173 0.750
Re: 0.500 0.577 0.000
Re: 0.250 0.673 0.250
Re: 0.000 0.077 0.000
Re: 0.000 0.577 0.500
Re: 0.000 0.923 0.000
Re: 0.250 0.327 0.750
Re: 0.750 0.173 0.250
Re: 0.500 0.923 0.500
Re: 0.750 0.673 0.750
Re: 0.750 0.327 0.250

Its density of states at the Fermi level is 32.7 states/eV/cell. For the formation energy, the calculation gives 99 kJ per mole of atoms. As for the space group: Fddd.

[10]
Entry from Alexandria: BaRe after structural relaxation (PBE).

Cell lengths 2.976, 2.976, 5.535 Å; angles 90.00, 90.00, 90.00 degrees
Fractional coordinates of all 2 atoms:
Ba: 0.500 0.500 0.500
Re: 0.000 0.000 0.000

Its density of states at the Fermi level is 1.5 states/eV/cell. For the formation energy, the calculation gives 160 kJ per mole of atoms. As for the space group: P4/mmm.

[11]
Entry from Alexandria: BaRe after structural relaxation (PBE).

Cell lengths 3.836, 3.836, 3.836 Å; angles 90.00, 90.00, 90.00 degrees
Fractional coordinates of all 2 atoms:
Ba: 0.000 0.000 0.000
Re: 0.500 0.500 0.500

Its density of states at the Fermi level is 1.6 states/eV/cell. For the formation energy, the calculation gives 185 kJ per mole of atoms. As for the space group: Pm-3m.

[12]
Entry from Alexandria: BaRe after structural relaxation (PBE).

Cell lengths 5.175, 5.175, 5.175 Å; angles 67.33, 67.33, 67.33 degrees
Fractional coordinates of all 4 atoms:
Ba: 0.642 0.642 0.642
Ba: 0.358 0.358 0.358
Re: 0.907 0.907 0.907
Re: 0.093 0.093 0.093

Its density of states at the Fermi level is 5.5 states/eV/cell. For the formation energy, the calculation gives 116 kJ per mole of atoms. As for the space group: R-3m.